MgCrF5 | PBE+U | relaxed

Values from the calculation:
E: -5.645 eV per atom
Total magnetization: 3.00 μB per cell
E above lowest polymorph: 33 meV per atom

Cell lengths 5.331, 5.331, 5.331 Å; angles 138.51, 106.40, 88.20 degrees
Fractional coordinates of all 7 atoms:
Mg (0.000, 0.000, 0.000)
Cr (0.500, 0.500, 0.000)
F (0.194, 0.500, 0.694)
F (0.248, 0.248, 0.000)
F (0.500, 0.000, 0.500)
F (0.752, 0.752, 0.000)
F (0.806, 0.500, 0.306)